(1)
LiMnRe3 | PBE | relaxed

Cell and atoms, written as POSCAR:
```
LiMnRe3
1.0
4.447 0.000 0.000
0.000 4.447 0.000
0.000 0.000 4.447
Li Mn Re
1 1 3
Direct
0.000 0.000 0.000
0.500 0.500 0.500
0.000 0.500 0.500
0.500 0.000 0.500
0.500 0.500 0.000
```

Values from the calculation:
formation energy: 1500 meV/atom
ρ: 11.72 g/cm3
space-group type: Pm-3m, No. 221
energy above the most stable polymorph in this dataset: 0.339 eV/f.u.

(2)
MnSiRh | PBE | relaxed

Cell and atoms, written as POSCAR:
```
MnSiRh
1.0
2.735 0.000 0.000
-1.368 2.369 0.000
0.000 0.000 5.940
Mn Si Rh
1 1 1
Direct
0.000 0.000 0.000
0.333 0.667 0.687
0.667 0.333 0.362
```

Values from the calculation:
ρ: 8.02 g/cm3
space-group type: P3m1, No. 156
ΔE_f (raw): -0.7 eV/f.u.

(3)
AcPmGa2Pd2 | PBE | relaxed

Cell and atoms, written as POSCAR:
```
AcPmGa2Pd2
1.0
4.569 0.000 0.000
-2.285 3.957 0.000
0.000 0.000 7.650
Ac Pm Ga Pd
1 1 2 2
Direct
0.000 0.000 0.000
0.000 0.000 0.500
0.333 0.667 0.719
0.667 0.333 0.281
0.333 0.667 0.275
0.667 0.333 0.725
```

Values from the calculation:
formation energy: -802 meV/atom
ρ: 8.69 g/cm3
space-group type: P-3m1, No. 164

Which value of ρ does entry 2 give?
8.02 g/cm3

Number 3 is which compound?
AcPmGa2Pd2

Which formula does entry 2 have?
MnSiRh

Look up the ρ of the third one.
8.69 g/cm3